Record 1
The following is a DFT calculation (GGA-PBE) of crystalline Hf3SbAu at its relaxed geometry.

Unit cell a=11.7248 b=9.8438 c=8.4533 alpha=90.00 beta=119.80 gamma=90.00
With the nearest neighbours (Å) after each atom.
Space group C2/c (No. 15)
One atom of each set of equivalent atoms:
1 Hf 0.0934 0.1330 0.1628 x8  3 Sb 2.97-3.05, 4 Hf 3.04-3.30, 3 Au 3.10-3.29
2 Hf 0.1024 0.3657 0.6260 x8  3 Au 2.83-2.86, 1 Sb 3.00, 3 Hf 3.09-3.16
3 Hf 0.2063 0.3680 0.0509 x8  5 Hf 2.84-3.17, 2 Sb 2.90-2.91, 1 Au 2.99
4 Sb 0.2050 0.1046 0.5628 x8  6 Hf 2.90-3.05, 1 Au 3.02
5 Au 0.0000 0.1529 0.7500 x4  6 Hf 2.86-3.10
6 Au 0.0000 0.4259 0.2500 x4  4 Hf 2.83-2.85, 2 Sb 3.02

## Properties
M_tot = 0.00 μB per formula unit
final energy = -310.9 eV/cell
volume = 21.165 Å³ per atom

=====

Record 2
The following is a DFT calculation (GGA-PBE) of crystalline Hf2SbAu at its relaxed geometry.

Unit cell a=4.4445 b=4.4445 c=16.0473 alpha=90.00 beta=90.00 gamma=120.00
With the nearest neighbours (Å) after each atom.
Space group R-3m (No. 166, hexagonal axes)
One atom of each set of equivalent atoms:
1 Hf 0.0000 0.0000 0.2366 x6  3 Au 2.80, 3 Sb 3.00
2 Sb 0.0000 0.0000 0.0000 x3  6 Hf 3.00
3 Au 0.0000 0.0000 0.5000 x3  6 Hf 2.80

## Properties
M_tot = 0.00 μB per formula unit
final energy = -85.1 eV/cell
volume = 22.877 Å³ per atom

=====

Record 3
The following is a DFT calculation (GGA-PBE) of crystalline HfSbAu3 at its relaxed geometry.

Unit cell a=5.0786 b=5.0786 c=5.0786 alpha=90.00 beta=90.00 gamma=90.00
With the nearest neighbours (Å) after each atom.
Space group Pm-3m (No. 221)
One atom of each set of equivalent atoms:
1 Hf 0.0000 0.0000 0.0000 x1  12 Au 3.59
2 Sb 0.5000 0.5000 0.5000 x1  6 Au 2.54
3 Au 0.0000 0.5000 0.5000 x3  2 Sb 2.54

## Properties
M_tot = 0.75 μB per formula unit
final energy = -19.9 eV/cell
volume = 26.198 Å³ per atom

=====

Record 4
The following is a DFT calculation (GGA-PBE) of crystalline HfSbAu at its relaxed geometry.

Unit cell a=4.0648 b=4.0648 c=8.1099 alpha=90.00 beta=90.00 gamma=90.00
With the nearest neighbours (Å) after each atom.
Space group P4/nmm (No. 129, origin choice 2)
One atom of each set of equivalent atoms:
1 Hf 0.2500 0.2500 0.2439 x2  4 Au 2.91, 5 Sb 3.02-3.03
2 Sb 0.2500 0.2500 0.8700 x2  5 Hf 3.02-3.03
3 Au 0.2500 0.7500 0.5000 x2  4 Au 2.87, 4 Hf 2.91

## Properties
M_tot = 0.00 μB per formula unit
final energy = -36.8 eV/cell
volume = 22.333 Å³ per atom

=====

Record 5
The following is a DFT calculation (GGA-PBE) of crystalline Hf2Sb2Au at its relaxed geometry.

Unit cell a=7.6797 b=7.6797 c=3.8823 alpha=90.00 beta=90.00 gamma=90.00
With the nearest neighbours (Å) after each atom.
Space group P4/mbm (No. 127)
One atom of each set of equivalent atoms:
1 Hf 0.1459 0.3541 0.0000 x4  6 Sb 2.92-3.01, 2 Au 2.94, 1 Hf 3.17
2 Sb 0.1538 0.6538 0.5000 x4  6 Hf 2.92-3.01
3 Au 0.0000 0.0000 0.0000 x2  4 Hf 2.94

## Properties
M_tot = 0.00 μB per formula unit
final energy = -66.5 eV/cell
volume = 22.897 Å³ per atom

=====

Record 6
The following is a DFT calculation (GGA-PBE) of crystalline Hf2SbAu2 at its relaxed geometry.

Unit cell a=7.2928 b=7.2928 c=3.9410 alpha=90.00 beta=90.00 gamma=90.00
With the nearest neighbours (Å) after each atom.
Space group P4/mbm (No. 127)
One atom of each set of equivalent atoms:
1 Hf 0.1657 0.3343 0.0000 x4  6 Au 2.87-2.94
2 Sb 0.0000 0.0000 0.5000 x2  4 Au 2.85
3 Au 0.1317 0.6317 0.5000 x4  1 Au 2.72, 2 Sb 2.85, 6 Hf 2.87-2.94

## Properties
M_tot = 0.00 μB per formula unit
final energy = -64.2 eV/cell
volume = 20.960 Å³ per atom

=====

- Number 3 is which compound?
  HfSbAu3

=====

What did the third record say?
The following is a DFT calculation (GGA-PBE) of crystalline HfSbAu3 at its relaxed geometry.

Unit cell a=5.0786 b=5.0786 c=5.0786 alpha=90.00 beta=90.00 gamma=90.00
With the nearest neighbours (Å) after each atom.
Space group Pm-3m (No. 221)
One atom of each set of equivalent atoms:
1 Hf 0.0000 0.0000 0.0000 x1  12 Au 3.59
2 Sb 0.5000 0.5000 0.5000 x1  6 Au 2.54
3 Au 0.0000 0.5000 0.5000 x3  2 Sb 2.54

## Properties
M_tot = 0.75 μB per formula unit
final energy = -19.9 eV/cell
volume = 26.198 Å³ per atom